Here is an optimized crystal structure of Ba2TcO from Alexandria. Energies are from PBE.

Properties
* space-group type: No. 122
* formation energy (no corrections): -0.2509 eV/atom

abc: 7.6008 7.6008 7.0246
angles: 57.25 57.25 90.00
Positions (direct):
Ba 0.5403 0.1250 0.2500
Ba 0.2097 0.6250 0.2500
Tc 0.7500 0.2500 0.5000
Ba 0.8750 0.7903 0.7500
O 0.5000 0.5000 0.0000
Ba 0.3750 0.4597 0.7500
O 0.2500 0.7500 0.5000
Tc 0.0000 0.0000 0.0000